# PmTlAg2 (GGA-PBEsol, relaxed)
data_PmTlAg2
_symmetry_space_group_name_H-M 'F m -3 m'
_symmetry_Int_Tables_number 225
_symmetry_space_group_name_Hall '-F 4 2 3'
_cell_length_a 7.005
_cell_length_b 7.005
_cell_length_c 7.005
_cell_angle_alpha 90.00
_cell_angle_beta 90.00
_cell_angle_gamma 90.00
loop_
_atom_site_label
_atom_site_fract_x
_atom_site_fract_y
_atom_site_fract_z
Pm1 0.000 0.000 0.000
Tl1 0.000 0.000 0.500
Ag1 0.250 0.250 0.250
# - mass density (Mg/m³) = 10.9
# - crystal system = cubic
# - formation energy from the elements (eV/f.u.) = -1.1
# - electronic total energy (eV/atom) = -3.88
# - volume (Å³/f.u.) = 85.9
# - magnetic moment (μB per formula unit) = 0.0
# - DOS(E_F) (states/eV/atom) = 0.350